First-principles (PBE with a Hubbard U) data for an optimized crystal structure of NdNpCr2O8, as listed in the Alexandria database.

Structure (CIF):
```
data_NdNpCr2O8
_cell_length_a 4.870
_cell_length_b 4.870
_cell_length_c 7.045
_cell_angle_alpha 94.75
_cell_angle_beta 94.75
_cell_angle_gamma 84.77
_symmetry_space_group_name_H-M 'P 1'
_symmetry_Int_Tables_number 1
loop_
_symmetry_equiv_pos_as_xyz
'x,y,z'
loop_
_atom_site_label
_atom_site_type_symbol
_atom_site_fract_x
_atom_site_fract_y
_atom_site_fract_z
Nd1 Nd 0.000 0.000 0.000
Np1 Np 0.000 0.000 0.500
Cr1 Cr 0.468 0.468 0.783
Cr2 Cr 0.532 0.532 0.217
O1 O 0.201 0.786 0.726
O2 O 0.214 0.799 0.274
O3 O 0.271 0.271 0.547
O4 O 0.329 0.329 0.002
O5 O 0.671 0.671 0.998
O6 O 0.729 0.729 0.453
O7 O 0.786 0.201 0.726
O8 O 0.799 0.214 0.274
```

Values from the calculation:
- total DFT energy (no corrections) (Ry/atom) = -0.6158
- V (Å³/cell) = 165.3
- D(E_F) (states/eV per atom) = 0.308